(1)
The following is a GGA-PBE calculation of AcNd6YHo2 after structural relaxation, from Alexandria via LeMat-Bulk.

For the magnetization, the calculation gives 0.00 μB/f.u. As for the raw total energy: -4.717 eV per atom. As for the crystal system: monoclinic.

It has space group C2/c (No. 15), with a = 9.392 Å, b = 15.528 Å, c = 9.801 Å, α = 90.00°, β = 96.11° and γ = 90.00°. The inequivalent atoms are Ac at (0.000, 0.028, 0.250), Nd at (0.062, 0.184, 0.946), Nd at (0.100, 0.391, 0.119), Nd at (0.217, 0.228, 0.317), Y at (0.000, 0.412, 0.750) and Ho at (0.241, 0.446, 0.453).

(2)
The following is a GGA-PBE calculation of SmTmSi2Pt2 after structural relaxation, from Alexandria via LeMat-Bulk.

The calculation puts the energy relative to the elements, uncorrected at -1.140 eV/atom. For the magnetization, the calculation gives 0.00 μB/f.u. As for the raw total energy: -6.493 eV per atom. As for the crystal system: trigonal.

It has space group P-3m1 (No. 164), with a = 4.1591 Å, b = 4.1591 Å, c = 8.0983 Å, α = 90.00°, β = 90.00° and γ = 120.00°. The inequivalent atoms are Sm at (0.0000, 0.0000, 0.0000), Tm at (0.0000, 0.0000, 0.5000), Si at (0.3333, 0.6667, 0.7439) and Pt at (0.3333, 0.6667, 0.2631).

(3)
The following is a GGA-PBE calculation of BaGa2Pt after structural relaxation, from Alexandria via LeMat-Bulk.

For the magnetization, the calculation gives 0.00 μB/f.u. As for the raw total energy: -4.106 eV per atom. As for the crystal system: monoclinic.

It has space group C2/c (No. 15), with a = 6.767 Å, b = 11.581 Å, c = 5.949 Å, α = 90.00°, β = 120.61° and γ = 90.00°. The inequivalent atoms are Ba at (0.000, 0.123, 0.250), Ga at (0.168, 0.352, 0.027) and Pt at (0.000, 0.462, 0.250).

(4)
The following is a GGA-PBE calculation of LiSm3Ir2 after structural relaxation, from Alexandria via LeMat-Bulk.

For the magnetization, the calculation gives 0.00 μB/f.u. As for the raw total energy: -6.176 eV per atom. As for the crystal system: trigonal.

It has space group P-3m1 (No. 164), with a = 4.9848 Å, b = 4.9848 Å, c = 12.3695 Å, α = 90.00°, β = 90.00° and γ = 120.00°. The inequivalent atoms are Li at (0.3333, 0.6667, 0.1700), Sm at (0.0000, 0.0000, 0.2578), Sm at (0.3333, 0.6667, 0.4241), Sm at (0.3333, 0.6667, 0.9175), Ir at (0.0000, 0.0000, 0.0000), Ir at (0.0000, 0.0000, 0.5000) and Ir at (0.3333, 0.6667, 0.6757).

(5)
The following is a GGA-PBE calculation of TlAs3N after structural relaxation, from Alexandria via LeMat-Bulk.

The calculation puts the energy relative to the elements, uncorrected at 0.763 eV/atom. For the magnetization, the calculation gives 0.00 μB/f.u. As for the raw total energy: -4.165 eV per atom. As for the crystal system: cubic. The value obtained for the energy above the most stable polymorph in this dataset is 0.0 meV/atom.

It has space group Pm-3m (No. 221), with a = 4.529 Å, b = 4.529 Å, c = 4.529 Å, α = 90.00°, β = 90.00° and γ = 90.00°. The inequivalent atoms are Tl at (0.000, 0.000, 0.000), As at (0.000, 0.500, 0.500) and N at (0.500, 0.500, 0.500).

(6)
The following is a GGA-PBE calculation of Pm2MgIrO6 after structural relaxation, from Alexandria via LeMat-Bulk.

The calculation puts the energy relative to the elements, uncorrected at -2.484 eV/atom. For the magnetization, the calculation gives 1.01 μB/f.u. As for the raw total energy: -7.454 eV per atom. As for the crystal system: monoclinic.

It has space group P2_1/c (No. 14), with a = 5.448 Å, b = 5.776 Å, c = 9.499 Å, α = 90.00°, β = 124.60° and γ = 90.00°. The inequivalent atoms are Pm at (0.231, 0.067, 0.251), Mg at (0.500, 0.000, 0.000), Ir at (0.000, 0.000, 0.500), O at (0.136, 0.202, 0.946), O at (0.250, 0.699, 0.947) and O at (0.352, 0.033, 0.748).

(7)
The following is a GGA-PBE calculation of ReSiRu after structural relaxation, from Alexandria via LeMat-Bulk.

The calculation puts the energy relative to the elements, uncorrected at -0.008 eV/atom. For the magnetization, the calculation gives 0.00 μB/f.u. As for the raw total energy: -9.057 eV per atom. As for the crystal system: cubic. The value obtained for the energy above the most stable polymorph in this dataset is 259.4 meV/atom.

It has space group F-43m (No. 216), with a = 5.779 Å, b = 5.779 Å, c = 5.779 Å, α = 90.00°, β = 90.00° and γ = 90.00°. The inequivalent atoms are Re at (0.000, 0.000, 0.000), Si at (0.000, 0.000, 0.500) and Ru at (0.250, 0.250, 0.250).

(8)
The following is a GGA-PBE calculation of Tb4MgZn2Ru after structural relaxation, from Alexandria via LeMat-Bulk.

For the magnetization, the calculation gives 0.00 μB/f.u. As for the raw total energy: -4.298 eV per atom. As for the crystal system: trigonal.

It has space group R-3m (No. 166, hexagonal axes), with a = 5.0799 Å, b = 5.0799 Å, c = 24.8733 Å, α = 90.00°, β = 90.00° and γ = 120.00°. The inequivalent atoms are Tb at (0.0000, 0.0000, 0.1140), Tb at (0.0000, 0.0000, 0.3672), Mg at (0.0000, 0.0000, 0.5000), Zn at (0.0000, 0.0000, 0.2399) and Ru at (0.0000, 0.0000, 0.0000).

(9)
The following is a GGA-PBE calculation of Sn2MoPbI after structural relaxation, from Alexandria via LeMat-Bulk.

The calculation puts the energy relative to the elements, uncorrected at 0.551 eV/atom. For the magnetization, the calculation gives 1.35 μB/f.u. As for the raw total energy: -4.268 eV per atom. As for the crystal system: tetragonal.

It has space group P4/mmm (No. 123), with a = 5.292 Å, b = 5.292 Å, c = 5.695 Å, α = 90.00°, β = 90.00° and γ = 90.00°. The inequivalent atoms are Sn at (0.000, 0.500, 0.000), Mo at (0.000, 0.000, 0.000), Pb at (0.500, 0.500, 0.500) and I at (0.000, 0.000, 0.500).

(10)
The following is a GGA-PBE calculation of CeErInAu after structural relaxation, from Alexandria via LeMat-Bulk.

For the magnetization, the calculation gives 1.06 μB/f.u. As for the raw total energy: -4.618 eV per atom. As for the crystal system: cubic.

It has space group F-43m (No. 216), with a = 7.472 Å, b = 7.472 Å, c = 7.472 Å, α = 90.00°, β = 90.00° and γ = 90.00°. The inequivalent atoms are Ce at (0.000, 0.000, 0.000), Er at (0.000, 0.000, 0.500), In at (0.250, 0.250, 0.750) and Au at (0.250, 0.250, 0.250).

(11)
The following is a GGA-PBE calculation of K2ReRu after structural relaxation, from Alexandria via LeMat-Bulk.

For the magnetization, the calculation gives 0.00 μB/f.u. As for the raw total energy: -4.625 eV per atom. As for the crystal system: orthorhombic. The value obtained for the energy above the most stable polymorph in this dataset is 588.6 meV/atom.

It has space group Cmmm (No. 65), with a = 3.191 Å, b = 4.361 Å, c = 11.652 Å, α = 90.00°, β = 90.00° and γ = 90.00°. The inequivalent atoms are K at (0.000, 0.000, 0.245), Re at (0.000, 0.500, 0.500) and Ru at (0.000, 0.500, 0.000).

(12)
The following is a GGA-PBE calculation of Ba2HfCu after structural relaxation, from Alexandria via LeMat-Bulk.

For the magnetization, the calculation gives 0.00 μB/f.u. As for the raw total energy: -3.667 eV per atom. As for the crystal system: cubic. The value obtained for the energy above the most stable polymorph in this dataset is 0.0 meV/atom.

It has space group Fm-3m (No. 225), with a = 8.099 Å, b = 8.099 Å, c = 8.099 Å, α = 90.00°, β = 90.00° and γ = 90.00°. The inequivalent atoms are Ba at (0.250, 0.250, 0.250), Hf at (0.000, 0.000, 0.000) and Cu at (0.000, 0.000, 0.500).